1.
# MgZnRe2

MgZnRe2 after structural relaxation (PBE, the Alexandria database).

## Properties
- ΔH_f (0 K): 3.13 eV per formula unit

Lattice parameters (Å, degrees): 4.3893 4.3893 4.3893 60.00 60.00 60.00
Atoms (fractional coordinates):
Re1 0.2500 0.2500 0.2500
Re2 0.7500 0.7500 0.7500
Zn1 0.5000 0.5000 0.5000
Mg1 0.0000 0.0000 0.0000



2.
# MgZnRe2

MgZnRe2 after structural relaxation (PBE, the Alexandria database).

## Properties
- ΔH_f (0 K): 1.45 eV per formula unit

Lattice parameters (Å, degrees): 5.1412 5.1412 5.1412 137.41 137.41 61.81
Atoms (fractional coordinates):
Mg1 0.7500 0.2500 0.5000
Re1 0.0000 0.0000 0.0000
Re2 0.5000 0.5000 0.0000
Zn1 0.2500 0.7500 0.5000



Number 1: M_tot 0.0 μB/cell, electronic total energy -24.6 eV for the cell shown, volume 14.9 Å³/atom. Number 2: M_tot 0.0 μB/cell, electronic total energy -26.3 eV for the cell shown, volume 15.4 Å³/atom.